Record 1
# NbCuGe3

NbCuGe3 after structural relaxation (PBE, Alexandria via LeMat-Bulk).

Properties
Calculated formation energy, kJ/mol of atoms: 71
Energy relative to the lowest polymorph listed for this composition, kJ per mole of atoms: 0.00

Cell: 5.0094 5.0094 5.0094 Å, 90.00 90.00 90.00°
With the nearest neighbours (Å) after each atom.
Atoms (fractional coordinates):
Cu  0.5000  0.5000  0.5000  12 Ge 3.54
Nb  0.0000  0.0000  0.0000  6 Ge 2.50
Ge  0.0000  0.0000  0.5000  2 Nb 2.50
Ge  0.0000  0.5000  0.0000  2 Nb 2.50
Ge  0.5000  0.0000  0.0000  2 Nb 2.50

Record 2
# Li4Ho3UTe8

Li4Ho3UTe8 after structural relaxation (PBE, Alexandria via LeMat-Bulk).

Properties
Formation energy from raw total energies, kcal/mol of atoms: -26.33

Cell: 8.6627 8.6591 8.6624 Å, 120.02 120.00 90.00°
With the nearest neighbours (Å) after each atom.
Atoms (fractional coordinates):
Li  0.0000  0.0000  0.0000  6 Te 3.04-3.05
Ho  0.5000  0.5000  0.0000  6 Te 3.08
Ho  0.5000  0.5000  0.5000  6 Te 3.08
Te  0.2514  0.2431  0.9972  3 Li 3.01-3.05, 2 Ho 3.08, 1 U 3.11
Te  0.7458  0.2431  0.4916  3 Li 3.01-3.05, 2 Ho 3.08, 1 U 3.11
Te  0.2542  0.7569  0.5084  3 Li 3.01-3.05, 2 Ho 3.08, 1 U 3.11
Te  0.7458  0.2431  0.9972  3 Li 3.01-3.05, 2 Ho 3.08, 1 U 3.11
U  0.0000  0.5000  0.0000  6 Te 3.11
Te  0.2485  0.2456  0.4970  3 Li 3.04, 3 Ho 3.08
Ho  0.0000  0.5000  0.5000  6 Te 3.08
Li  0.5000  0.0000  0.5000  6 Te 3.04-3.05
Te  0.7486  0.7569  0.0028  3 Li 3.01-3.05, 2 Ho 3.08, 1 U 3.11
Te  0.7515  0.7544  0.5030  3 Li 3.04, 3 Ho 3.08
Li  0.0000  0.0000  0.5000  6 Te 3.04-3.05
Te  0.2542  0.7569  0.0028  3 Li 3.01-3.05, 2 Ho 3.08, 1 U 3.11
Li  0.5000  0.0000  0.0000  6 Te 3.01

Record 3
# KMgBiF2

KMgBiF2 after structural relaxation (PBE, Alexandria via LeMat-Bulk).

Properties
Formation energy from raw total energies, kcal/mol of atoms: -31.54

Cell: 4.2302 8.9622 4.2302 Å, 90.00 90.00 90.00°
With the nearest neighbours (Å) after each atom.
Atoms (fractional coordinates):
K  0.0000  0.5000  0.0000  4 Bi 2.99
F  0.0000  0.0000  0.5000  2 Mg 2.12
F  0.5000  0.0000  0.0000  2 Mg 2.12
Mg  0.0000  0.0000  0.0000  4 F 2.12
Bi  0.5000  0.5000  0.5000  4 K 2.99

Record 4
# ErTm2Tl2Zn2

ErTm2Tl2Zn2 after structural relaxation (PBE, Alexandria via LeMat-Bulk).

Properties
Calculated formation energy, kJ/mol of atoms: -11

Cell: 4.7552 4.7552 9.1642 Å, 74.96 74.96 60.00°
With the nearest neighbours (Å) after each atom.
Atoms (fractional coordinates):
Zn  0.5757  0.5757  0.2728  3 Tl 2.82, 3 Tm 2.93
Tl  0.7324  0.7324  0.8029  3 Zn 2.82
Er  0.0000  0.0000  0.0000  6 Tl 3.24, 2 Tm 3.42
Tm  0.1305  0.1305  0.6086  3 Zn 2.93, 3 Tl 3.23
Zn  0.4243  0.4243  0.7272  3 Tl 2.82, 3 Tm 2.93
Tm  0.8695  0.8695  0.3914  3 Zn 2.93, 3 Tl 3.23
Tl  0.2676  0.2676  0.1971  3 Zn 2.82

Record 5
# Ni2SnP

Ni2SnP after structural relaxation (PBE, Alexandria via LeMat-Bulk).

Properties
Calculated formation energy, kJ/mol of atoms: -14

Cell: 4.3089 4.3089 7.8312 Å, 74.03 74.03 90.00°
With the nearest neighbours (Å) after each atom.
Atoms (fractional coordinates):
Ni  0.8750  0.7722  0.7500  2 P 2.19
P  0.5000  0.5000  0.0000  4 Ni 2.19
Ni  0.2278  0.6250  0.2500  2 P 2.19
Sn  0.7500  0.2500  0.5000  4 Ni 2.59
Ni  0.5222  0.1250  0.2500  2 P 2.19
P  0.2500  0.7500  0.5000  4 Ni 2.19
Sn  0.0000  0.0000  0.0000  4 Ni 2.59
Ni  0.3750  0.4778  0.7500  2 P 2.19

Record 6
# Er6In3Pt

Er6In3Pt after structural relaxation (PBE, Alexandria via LeMat-Bulk).

Properties
Calculated formation energy, kJ/mol of atoms: -50

Cell: 5.2258 9.1187 11.4908 Å, 108.31 90.00 90.00°
With the nearest neighbours (Å) after each atom.
Atoms (fractional coordinates):
Er  0.2500  0.4615  0.0830  6 In 3.12-3.33, 4 Er 3.37-3.48
Pt  0.2500  0.9586  0.6036  8 Er 2.84-3.12
Er  0.7500  0.1445  0.6702  3 Pt 2.99-3.08, 1 In 3.31, 1 Er 3.31
Er  0.7500  0.9004  0.1384  1 Pt 2.84, 1 In 3.10
Er  0.2500  0.6811  0.6659  1 Pt 2.84, 2 In 3.12
In  0.7500  0.2224  0.0277  10 Er 3.22-3.55, 1 In 3.50
Er  0.7500  0.8638  0.8369  4 In 3.26-3.56, 7 Er 3.34-3.65
Pt  0.7500  0.0414  0.3964  8 Er 2.84-3.12
In  0.7500  0.6062  0.2187  8 Er 3.10-3.44, 2 In 3.43
Er  0.2500  0.8555  0.3298  3 Pt 2.99-3.08, 1 In 3.31, 1 Er 3.31
In  0.2500  0.3938  0.7813  8 Er 3.10-3.44, 2 In 3.43
Er  0.7500  0.5385  0.9170  6 In 3.12-3.33, 4 Er 3.37-3.48
Er  0.7500  0.7751  0.5027  3 Pt 3.04-3.12, 2 In 3.14-3.36, 1 Er 3.31
Er  0.2500  0.0996  0.8616  1 Pt 2.84, 1 In 3.10
In  0.2500  0.5158  0.3768  6 Er 3.12-3.36, 2 In 3.43
Er  0.2500  0.2249  0.4973  3 Pt 3.04-3.12, 2 In 3.14-3.36, 1 Er 3.31
Er  0.7500  0.3189  0.3341  1 Pt 2.84, 2 In 3.12
Er  0.2500  0.1362  0.1631  4 In 3.26-3.56, 7 Er 3.34-3.65
In  0.7500  0.4842  0.6232  6 Er 3.12-3.36, 2 In 3.43
In  0.2500  0.7776  0.9723  10 Er 3.22-3.55, 1 In 3.50

Record 7
# SrOs2Se

SrOs2Se after structural relaxation (PBE, Alexandria via LeMat-Bulk).

Properties
Formation energy from raw total energies, kcal/mol of atoms: 23.88

Cell: 9.2323 9.2323 9.2323 Å, 19.16 19.16 19.16°
With the nearest neighbours (Å) after each atom.
Atoms (fractional coordinates):
Os  0.5128  0.5128  0.5128  3 Se 2.61
Os  0.9872  0.9872  0.9872  3 Se 2.61
Se  0.2500  0.2500  0.2500  6 Os 2.61
Sr  0.7500  0.7500  0.7500  6 Sr 3.07, 6 Os 3.16

Record 8
# NbTlSe2O8

NbTlSe2O8 after structural relaxation (PBE, Alexandria via LeMat-Bulk).

Properties
Formation energy from raw total energies, kcal/mol of atoms: -24.61

Cell: 5.6466 5.6466 8.3111 Å, 92.26 92.26 59.48°
With the nearest neighbours (Å) after each atom.
Atoms (fractional coordinates):
Nb  0.0000  0.0000  0.0000  6 O 1.90-2.08
O  0.6969  0.6969  0.3920  1 Se 1.65
O  0.2896  0.7720  0.1768  1 Se 1.77
O  0.2280  0.7104  0.8232  1 Se 1.77
O  0.7104  0.2280  0.8232  1 Se 1.77
Tl  0.0000  0.0000  0.5000  6 O 3.07-3.08
Se  0.3527  0.3527  0.8006  3 O 1.65-1.77
O  0.1880  0.1880  0.9550  1 Nb 1.90, 1 Se 2.11
O  0.8120  0.8120  0.0450  1 Nb 1.90, 1 Se 2.11
Se  0.6473  0.6473  0.1994  3 O 1.65-1.77
O  0.7720  0.2896  0.1768  1 Se 1.77
O  0.3031  0.3031  0.6080  1 Se 1.65